This record from Alexandria via LeMat-Bulk describes Sm6C2NO2 after structural relaxation. The functional is GGA-PBE.

Output
Calculated volume in Å³/atom: 18.4
E_form (uncorrected) in meV/atom: -1428
M_tot in μB per atom: 0.038
Total energy in eV/atom: -7.34

a = 6.2879 Å, b = 6.2879 Å, c = 6.2694 Å
α = 99.89°, β = 99.89°, γ = 119.68°
Fractional coordinates of all 11 atoms:
Sm  0.0682  0.4138  0.7436
Sm  0.2371  0.2371  0.2684
Sm  0.4138  0.0682  0.7436
Sm  0.5862  0.9318  0.2564
Sm  0.7629  0.7629  0.7316
Sm  0.9318  0.5862  0.2564
C  0.3311  0.6689  0.5000
C  0.6689  0.3311  0.5000
N  0.0000  0.0000  0.5000
O  0.1678  0.8322  0.0000
O  0.8322  0.1678  0.0000